Computed, not measured: TaBeSbI2 after structural relaxation at the PBE level of DFT.

It has space group P4/mmm (No. 123), with a = 5.010 Å, b = 5.010 Å, c = 5.029 Å, α = 90.00°, β = 90.00° and γ = 90.00°. The inequivalent atoms are Ta at (0.000, 0.000, 0.000), Be at (0.500, 0.500, 0.500), Sb at (0.500, 0.500, 0.000) and I at (0.000, 0.500, 0.500).

For the calculated density, the calculation gives 7.4 g cm⁻³. As for the crystal system: tetragonal. As for the uncorrected formation energy: 105.5 kJ/mol of atoms. For the density of states at the Fermi level, the calculation gives 3.459 states/eV/f.u. As for the energy relative to the lowest polymorph listed for this composition: 209 meV/atom.